[1]
Density functional theory data (PBE) for an optimized crystal structure of BeTlSe2Br.

Lattice parameters (Å, degrees): 5.416 5.416 5.549 90.00 90.00 90.00
Positions (direct):
Tl: 0.000 0.000 0.000
Se: 0.000 0.500 0.000
Se: 0.500 0.000 0.000
Be: 0.500 0.500 0.500
Br: 0.000 0.000 0.500

**Space-group type**: P4/mmm, No. 123
**DFT total energy**: -2.05 eV/atom
**ΔE_f (raw)**: 900 meV/atom
**ΔE to the lowest computed polymorph**: 1.068 eV per atom


[2]
Density functional theory data (PBE) for an optimized crystal structure of BeTlSe2Br.

Lattice parameters (Å, degrees): 4.466 4.466 6.781 90.00 90.00 90.00
Positions (direct):
Se: 0.500 0.000 0.000
Se: 0.000 0.500 0.000
Br: 0.000 0.000 0.500
Tl: 0.500 0.500 0.500
Be: 0.000 0.000 0.000

**Space-group type**: P4/mmm, No. 123
**DFT total energy**: -3.12 eV/atom
**ΔE_f (raw)**: -169 meV/atom
**ΔE to the lowest computed polymorph**: 0.000 eV per atom


[3]
Density functional theory data (PBE) for an optimized crystal structure of BeTlSeBr2.

Lattice parameters (Å, degrees): 5.597 5.597 5.482 90.00 90.00 90.00
Each line ends with the local moment (μB).
Positions (direct):
Be: 0.500 0.500 0.500  0.19
Tl: 0.000 0.000 0.000  0.00
Se: 0.000 0.000 0.500  -0.05
Br: 0.500 0.000 0.000  0.00
Br: 0.000 0.500 0.000  0.00

**Space-group type**: P4/mmm, No. 123
**DFT total energy**: -1.96 eV/atom
**ΔE_f (raw)**: 620 meV/atom
**ΔE to the lowest computed polymorph**: 0.964 eV per atom


[4]
Density functional theory data (PBE) for an optimized crystal structure of BeTlSeBr2.

Lattice parameters (Å, degrees): 5.160 5.160 4.619 90.00 90.00 90.00
Positions (direct):
Be: 0.000 0.000 0.000
Se: 0.000 0.000 0.500
Tl: 0.500 0.500 0.500
Br: 0.500 0.000 0.000
Br: 0.000 0.500 0.000

**Space-group type**: P4/mmm, No. 123
**DFT total energy**: -2.93 eV/atom
**ΔE_f (raw)**: -343 meV/atom
**ΔE to the lowest computed polymorph**: 0.000 eV per atom


[5]
Density functional theory data (PBE) for an optimized crystal structure of BeVSe2Br.

Lattice parameters (Å, degrees): 4.579 4.579 4.809 90.00 90.00 90.00
Each line ends with the local moment (μB).
Positions (direct):
Br: 0.000 0.000 0.500  -0.13
Be: 0.000 0.000 0.000  0.01
V: 0.500 0.500 0.500  2.82
Se: 0.000 0.500 0.000  -0.23
Se: 0.500 0.000 0.000  -0.23

**Space-group type**: P4/mmm, No. 123
**DFT total energy**: -4.03 eV/atom
**ΔE_f (raw)**: 272 meV/atom
**ΔE to the lowest computed polymorph**: 0.000 eV per atom


[6]
Density functional theory data (PBE) for an optimized crystal structure of BeVSe2Br.

Lattice parameters (Å, degrees): 4.751 4.751 5.207 90.00 90.00 90.00
Positions (direct):
Se: 0.000 0.500 0.000
Se: 0.500 0.000 0.000
V: 0.000 0.000 0.000
Br: 0.000 0.000 0.500
Be: 0.500 0.500 0.500

**Space-group type**: P4/mmm, No. 123
**DFT total energy**: -3.92 eV/atom
**ΔE_f (raw)**: 382 meV/atom
**ΔE to the lowest computed polymorph**: 0.109 eV per atom


[7]
Density functional theory data (PBE) for an optimized crystal structure of BeWSe2Br.

Lattice parameters (Å, degrees): 4.672 4.672 4.467 90.00 90.00 90.00
Each line ends with the local moment (μB).
Positions (direct):
Se: 0.500 0.000 0.000  -0.20
Se: 0.000 0.500 0.000  -0.20
Be: 0.000 0.000 0.000  0.03
Br: 0.000 0.000 0.500  -0.06
W: 0.500 0.500 0.500  2.67

**Space-group type**: P4/mmm, No. 123
**DFT total energy**: -4.17 eV/atom
**ΔE_f (raw)**: 897 meV/atom
**ΔE to the lowest computed polymorph**: 0.167 eV per atom


[8]
Density functional theory data (PBE) for an optimized crystal structure of BeWSe2Br.

Lattice parameters (Å, degrees): 4.895 4.895 5.316 90.00 90.00 90.00
Each line ends with the local moment (μB).
Positions (direct):
W: 0.000 0.000 0.000  0.54
Br: 0.000 0.000 0.500  0.03
Be: 0.500 0.500 0.500  -0.02
Se: 0.000 0.500 0.000  0.00
Se: 0.500 0.000 0.000  0.00

**Space-group type**: P4/mmm, No. 123
**DFT total energy**: -4.33 eV/atom
**ΔE_f (raw)**: 731 meV/atom
**ΔE to the lowest computed polymorph**: 0.000 eV per atom


[9]
Density functional theory data (PBE) for an optimized crystal structure of BeWSeBr2.

Lattice parameters (Å, degrees): 4.525 4.525 5.228 90.00 90.00 90.00
Each line ends with the local moment (μB).
Positions (direct):
Be: 0.000 0.000 0.000  0.03
Se: 0.000 0.000 0.500  -0.15
W: 0.500 0.500 0.500  3.08
Br: 0.000 0.500 0.000  0.01
Br: 0.500 0.000 0.000  0.01

**Space-group type**: P4/mmm, No. 123
**DFT total energy**: -3.83 eV/atom
**ΔE_f (raw)**: 875 meV/atom
**ΔE to the lowest computed polymorph**: 0.124 eV per atom


[10]
Density functional theory data (PBE) for an optimized crystal structure of BeWSeBr2.

Lattice parameters (Å, degrees): 5.270 5.270 4.854 90.00 90.00 90.00
Each line ends with the local moment (μB).
Positions (direct):
Br: 0.500 0.000 0.000  0.04
Br: 0.000 0.500 0.000  0.04
Se: 0.000 0.000 0.500  -0.04
W: 0.000 0.000 0.000  1.41
Be: 0.500 0.500 0.500  -0.07

**Space-group type**: P4/mmm, No. 123
**DFT total energy**: -3.95 eV/atom
**ΔE_f (raw)**: 751 meV/atom
**ΔE to the lowest computed polymorph**: 0.000 eV per atom


[11]
Density functional theory data (PBE) for an optimized crystal structure of BeWSe2Br.

Lattice parameters (Å, degrees): 5.323 4.676 5.323 90.00 90.00 90.00
Each line ends with the local moment (μB).
Positions (direct):
Be: 0.500 0.500 0.500  -0.12
Se: 0.000 0.000 0.500  -0.03
Se: 0.500 0.000 0.000  -0.03
Br: 0.000 0.000 0.000  -0.03
W: 0.000 0.500 0.000  1.81

**Space-group type**: P4/mmm, No. 123
**DFT total energy**: -2.95 eV/atom
**ΔE_f (raw)**: 2111 meV/atom
**ΔE to the lowest computed polymorph**: 1.381 eV per atom


[12]
Density functional theory data (PBE) for an optimized crystal structure of YBeSe2Br.

Lattice parameters (Å, degrees): 5.518 5.518 5.454 90.00 90.00 90.00
Positions (direct):
Be: 0.500 0.500 0.500
Se: 0.000 0.500 0.000
Se: 0.500 0.000 0.000
Br: 0.000 0.000 0.500
Y: 0.000 0.000 0.000

**Space-group type**: P4/mmm, No. 123
**DFT total energy**: -3.87 eV/atom
**ΔE_f (raw)**: -99 meV/atom
**ΔE to the lowest computed polymorph**: 0.638 eV per atom


[13]
Density functional theory data (PBE) for an optimized crystal structure of YBeSe2Br.

Lattice parameters (Å, degrees): 4.845 4.845 4.551 90.00 90.00 90.00
Positions (direct):
Se: 0.000 0.500 0.000
Se: 0.500 0.000 0.000
Y: 0.500 0.500 0.500
Be: 0.000 0.000 0.000
Br: 0.000 0.000 0.500

**Space-group type**: P4/mmm, No. 123
**DFT total energy**: -4.50 eV/atom
**ΔE_f (raw)**: -737 meV/atom
**ΔE to the lowest computed polymorph**: 0.000 eV per atom


[14]
Density functional theory data (PBE) for an optimized crystal structure of ZrBeSe2Br.

Lattice parameters (Å, degrees): 4.739 4.739 4.485 90.00 90.00 90.00
Each line ends with the local moment (μB).
Positions (direct):
Zr: 0.500 0.500 0.500  0.74
Se: 0.000 0.500 0.000  -0.06
Se: 0.500 0.000 0.000  -0.06
Be: 0.000 0.000 0.000  0.01
Br: 0.000 0.000 0.500  -0.03

**Space-group type**: P4/mmm, No. 123
**DFT total energy**: -4.33 eV/atom
**ΔE_f (raw)**: -142 meV/atom
**ΔE to the lowest computed polymorph**: 0.000 eV per atom


[15]
Density functional theory data (PBE) for an optimized crystal structure of ZrBeSe2Br.

Lattice parameters (Å, degrees): 5.219 5.219 5.386 90.00 90.00 90.00
Each line ends with the local moment (μB).
Positions (direct):
Br: 0.000 0.000 0.500  0.01
Se: 0.500 0.000 0.000  0.07
Se: 0.000 0.500 0.000  0.07
Zr: 0.000 0.000 0.000  0.01
Be: 0.500 0.500 0.500  0.17

**Space-group type**: P4/mmm, No. 123
**DFT total energy**: -4.23 eV/atom
**ΔE_f (raw)**: -42 meV/atom
**ΔE to the lowest computed polymorph**: 0.099 eV per atom